La2MgGa3Au4 | PBE | optimized geometry

The mass density comes out at 9.90 g/cm³. The value obtained for the formation enthalpy at 0 K is -0.6853 eV/atom.

The structure belongs to space group P-4m2 (No. 115); the cell edges are 4.526, 4.526 and 10.640 Å and the angles 90.00°, 90.00° and 90.00°. The inequivalent atoms are La at (0.000, 0.500, 0.239), Mg at (0.000, 0.000, 0.500), Ga at (0.000, 0.500, 0.871), Ga at (0.500, 0.500, 0.500), Au at (0.000, 0.000, 0.000), Au at (0.000, 0.500, 0.634) and Au at (0.500, 0.500, 0.000).